DFT (GGA-PBE) results for a relaxed ZrScRu crystal.

Output
Calculated total energy   -101.4 eV/cell
Magnetization   0.00 Bohr magnetons per cell
Space-group type   Ima2, No. 46
D(E_F)   1.181 states/eV per atom
ρ   6.500 g cm⁻³

abc: 5.988 6.394 6.332
angles: 90.00 90.00 90.00
Atoms (fractional coordinates):
Sc (0.250, 0.826, 0.851)
Sc (0.250, 0.674, 0.351)
Sc (0.750, 0.174, 0.851)
Sc (0.750, 0.326, 0.351)
Ru (0.500, 0.500, 0.016)
Ru (0.500, 0.000, 0.516)
Ru (0.000, 0.500, 0.016)
Ru (0.000, 0.000, 0.516)
Zr (0.250, 0.184, 0.206)
Zr (0.750, 0.816, 0.206)
Zr (0.750, 0.684, 0.706)
Zr (0.250, 0.316, 0.706)